Sr2Zr2Sb | Alexandria via LeMat-Bulk | PBE | optimized geometry; energy above the most stable polymorph in this dataset = 0.000 eV per atom; calculated density = 4.7 Mg/m³; formation energy (no corrections) = 0.034 eV per atom
1.0
-1.9836 1.9836 10.8692
1.9836 -1.9836 10.8692
1.9836 1.9836 -10.8692
Sr Zr Sb
2 2 1
direct
0.0948 0.0948 0.0000 Sr
0.9052 0.9052 0.0000 Sr
0.2500 0.7500 0.5000 Zr
0.7500 0.2500 0.5000 Zr
0.5000 0.5000 0.0000 Sb


Sr2ZrSb | Alexandria via LeMat-Bulk | PBE | optimized geometry; calculated density = 4.6 Mg/m³; formation energy (no corrections) = 0.204 eV per atom
1.0
-4.7239 4.7239 3.1563
4.7239 -4.7239 3.1563
4.7239 4.7239 -3.1563
Sr Zr Sb
4 2 2
direct
0.0867 0.6250 0.9617 Sr
0.3750 0.3367 0.4617 Sr
0.6633 0.1250 0.0383 Sr
0.8750 0.9133 0.5383 Sr
0.2500 0.7500 0.5000 Zr
0.5000 0.5000 0.0000 Zr
0.0000 0.0000 0.0000 Sb
0.7500 0.2500 0.5000 Sb


Sr2ZrSb | Alexandria via LeMat-Bulk | PBE | optimized geometry; calculated density = 5.1 Mg/m³; formation energy (no corrections) = -0.054 eV per atom
1.0
5.0060 0.0000 0.0000
0.0000 5.0060 0.0000
0.0000 0.0000 5.0293
Sr Zr Sb
2 1 1
direct
0.0000 0.5000 0.0000 Sr
0.5000 0.0000 0.0000 Sr
0.0000 0.0000 0.5000 Zr
0.5000 0.5000 0.5000 Sb


SrZrSb2 | Alexandria via LeMat-Bulk | PBE | optimized geometry; energy above the most stable polymorph in this dataset = 0.000 eV per atom; calculated density = 5.8 Mg/m³; formation energy (no corrections) = -0.809 eV per atom
1.0
2.1486 1.2405 7.6230
-2.1486 1.2405 7.6230
0.0000 -2.4810 7.6230
Sr Zr Sb
1 1 2
direct
0.0000 0.0000 0.0000 Sr
0.5000 0.5000 0.5000 Zr
0.2380 0.2380 0.2380 Sb
0.7620 0.7620 0.7620 Sb


SrZrSb2 | Alexandria via LeMat-Bulk | PBE | optimized geometry; energy above the most stable polymorph in this dataset = 0.350 eV per atom; calculated density = 6.4 Mg/m³; formation energy (no corrections) = -0.459 eV per atom
1.0
4.0378 -4.1443 0.0000
4.0378 4.1443 0.0000
-0.6597 0.0000 3.2847
Sr Zr Sb
1 1 2
direct
0.0000 0.0000 0.0000 Sr
0.5000 0.5000 0.0000 Zr
0.0000 0.5000 0.5000 Sb
0.5000 0.0000 0.5000 Sb


SrZr2Sb2 | Alexandria via LeMat-Bulk | PBE | optimized geometry; energy above the most stable polymorph in this dataset = 0.000 eV per atom; calculated density = 6.1 Mg/m³; formation energy (no corrections) = -0.660 eV per atom
1.0
-2.2463 2.2463 6.9483
2.2463 -2.2463 6.9483
2.2463 2.2463 -6.9483
Sr Zr Sb
1 2 2
direct
0.0000 0.0000 0.0000 Sr
0.2500 0.7500 0.5000 Zr
0.7500 0.2500 0.5000 Zr
0.3872 0.3872 0.0000 Sb
0.6128 0.6128 0.0000 Sb


SrZrSb2 | Alexandria via LeMat-Bulk | PBE | optimized geometry; energy above the most stable polymorph in this dataset = 0.317 eV per atom; calculated density = 6.2 Mg/m³; formation energy (no corrections) = -0.492 eV per atom
1.0
-2.3010 2.9824 4.1293
2.3010 -2.9824 4.1293
2.3010 2.9824 -4.1293
Sr Zr Sb
1 1 2
direct
0.0000 0.0000 0.0000 Sr
0.5000 0.5000 0.0000 Zr
0.2670 0.7670 0.5000 Sb
0.7330 0.2330 0.5000 Sb


SrZr3Sb | Alexandria via LeMat-Bulk | PBE | optimized geometry; energy above the most stable polymorph in this dataset = 0.000 eV per atom; calculated density = 5.0 Mg/m³; formation energy (no corrections) = 0.460 eV per atom
1.0
5.4478 0.0000 0.0000
0.0000 5.4478 0.0000
0.0000 0.0000 5.4478
Sr Zr Sb
1 3 1
direct
0.0000 0.0000 0.0000 Sr
0.0000 0.5000 0.5000 Zr
0.5000 0.0000 0.5000 Zr
0.5000 0.5000 0.0000 Zr
0.5000 0.5000 0.5000 Sb